The following is a PBE+U calculation of a relaxed ErNiAgF6 crystal, from the Alexandria database.

Computed properties:
* E_tot: -0.374 Ry/atom
* calculated volume: 279.0 Å³/cell
* theoretical density: 5.3 g/cm3
* total magnetization: 0.210 μB per atom

Lattice parameters (Å, degrees): 5.6609 5.6609 10.0548 90.00 90.00 120.00
Space group P-31c (No. 163)
Inequivalent atoms, fractional coordinates:
Er 0.3333 0.6667 0.2500 x2
Ni 0.3333 0.6667 0.7500 x2
Ag 0.0000 0.0000 0.0000 x2
F 0.0179 0.3767 0.6408 x12